# 1
Entry from the Alexandria database: an optimized crystal structure of Sc3MnPd (PBE).

Output
Total DFT energy (no corrections), Ry per atom: -0.483
D(E_F), states/eV per atom: 0.940
Theoretical density, g cm⁻³: 4.7
Spin magnetization, μB/f.u.: 0.00
Formation energy from the elements, eV per atom: 0.106

Unit cell a=4.725 b=4.725 c=4.725 alpha=90.00 beta=90.00 gamma=90.00
Space group Pm-3m (No. 221)
One atom of each set of equivalent atoms:
1 Sc 0.000 0.000 0.500 (multiplicity 3)
2 Mn 0.000 0.000 0.000 (multiplicity 1)
3 Pd 0.500 0.500 0.500 (multiplicity 1)

=====

# 2
Entry from the Alexandria database: an optimized crystal structure of Sc3MnPd (PBE).

Output
Total DFT energy (no corrections), Ry per atom: -0.473
D(E_F), states/eV per atom: 1.616
Theoretical density, g cm⁻³: 3.8
Spin magnetization, μB/f.u.: 3.15
Formation energy from the elements, eV per atom: 0.236

Unit cell a=5.042 b=5.042 c=5.042 alpha=90.00 beta=90.00 gamma=90.00
Space group Pm-3m (No. 221)
One atom of each set of equivalent atoms:
1 Sc 0.000 0.000 0.500 (multiplicity 3)
2 Mn 0.500 0.500 0.500 (multiplicity 1)
3 Pd 0.000 0.000 0.000 (multiplicity 1)

=====

# 3
Entry from the Alexandria database: an optimized crystal structure of Sc6MnPd12 (PBE).

Output
Total DFT energy (no corrections), Ry per atom: -0.474
D(E_F), states/eV per atom: 0.484
Theoretical density, g cm⁻³: 8.1
Spin magnetization, μB/f.u.: 2.93
Formation energy from the elements, eV per atom: -0.683

Unit cell a=10.1247 b=10.1247 c=11.1379 alpha=90.00 beta=90.00 gamma=120.00
Space group R-3 (No. 148, hexagonal axes)
One atom of each set of equivalent atoms:
1 Sc 0.0128 0.5889 0.2320 (multiplicity 18)
2 Mn 0.0000 0.0000 0.5000 (multiplicity 3)
3 Pd 0.0498 0.8652 0.3294 (multiplicity 18)
4 Pd 0.0575 0.1886 0.8964 (multiplicity 18)

=====

> Which of these has the lowest theoretical density?

number 2

=====

> What is the D(E_F) in the second record?

1.616 states/eV per atom

=====

> The highest D(E_F) belongs to which entry?

number 2

=====

Please write out number 3 again, unchanged.
Entry from the Alexandria database: an optimized crystal structure of Sc6MnPd12 (PBE).

Output
Total DFT energy (no corrections), Ry per atom: -0.474
D(E_F), states/eV per atom: 0.484
Theoretical density, g cm⁻³: 8.1
Spin magnetization, μB/f.u.: 2.93
Formation energy from the elements, eV per atom: -0.683

Unit cell a=10.1247 b=10.1247 c=11.1379 alpha=90.00 beta=90.00 gamma=120.00
Space group R-3 (No. 148, hexagonal axes)
One atom of each set of equivalent atoms:
1 Sc 0.0128 0.5889 0.2320 (multiplicity 18)
2 Mn 0.0000 0.0000 0.5000 (multiplicity 3)
3 Pd 0.0498 0.8652 0.3294 (multiplicity 18)
4 Pd 0.0575 0.1886 0.8964 (multiplicity 18)